Entry from Alexandria: a relaxed structure of CsSrCr2O8 (PBE+U).

## Properties
calculated density	2.814	Mg/m³
DFT total energy	-0.468	Ry/atom
total magnetic moment	1.10	μB/f.u.

a b c (Å): 5.9253 5.9253 8.7831
angles (deg): 90.00 90.00 120.00
Last column: nearest neighbours and their distance in Å.
Space group P-3 (No. 147)
Inequivalent atoms, fractional coordinates:
1 Cs 0.0000 0.0000 0.0000  12 O 3.30-3.46
2 Sr 0.0000 0.0000 0.5000  6 O 2.49
3 Cr 0.3333 0.6667 0.7526  4 O 1.64-1.67
4 O 0.1728 0.8126 0.6893  1 Cr 1.67
5 O 0.3333 0.6667 0.9397  1 Cr 1.64